# 1
PrTm2Te | PBE-GGA | relaxed

Summary:
Raw formation energy ... -0.64 eV/atom
Space group ... Cmcm, No. 63
Density of states at the Fermi level ... 5.09 states/eV/f.u.

Lattice parameters (Å, degrees): 6.4196 6.4196 9.8283 90.00 90.00 143.95
With the nearest neighbours (Å) after each atom.
Atoms (fractional coordinates):
Pr (0.0531, 0.9469, 0.7500)  3 Te 3.30-3.47, 4 Tm 3.57
Pr (0.9469, 0.0531, 0.2500)  3 Te 3.30-3.47, 4 Tm 3.57
Tm (0.3633, 0.6367, 0.5337)  3 Te 3.13-3.22, 3 Tm 3.40-3.47
Tm (0.3633, 0.6367, 0.9663)  3 Te 3.13-3.22, 3 Tm 3.40-3.47
Tm (0.6367, 0.3633, 0.0337)  3 Te 3.13-3.22, 3 Tm 3.40-3.47
Tm (0.6367, 0.3633, 0.4663)  3 Te 3.13-3.22, 3 Tm 3.40-3.47
Te (0.2307, 0.7693, 0.2500)  6 Tm 3.13-3.22, 3 Pr 3.30-3.47
Te (0.7693, 0.2307, 0.7500)  6 Tm 3.13-3.22, 3 Pr 3.30-3.47

# 2
PrTm4Te5 | PBE-GGA | relaxed

Summary:
Raw formation energy ... -1.21 eV/atom
Space group ... Immm, No. 71
Density of states at the Fermi level ... 6.39 states/eV/f.u.

Lattice parameters (Å, degrees): 11.6336 11.6336 11.6336 158.68 149.39 37.60
With the nearest neighbours (Å) after each atom.
Atoms (fractional coordinates):
Pr (0.0000, 0.0000, 0.0000)  6 Te 3.07-3.21
Tm (0.2054, 0.2054, 0.0000)  6 Te 3.03-3.08
Tm (0.4034, 0.4034, 0.0000)  6 Te 3.03-3.08
Tm (0.5966, 0.5966, 0.0000)  6 Te 3.03-3.08
Tm (0.7946, 0.7946, 0.0000)  6 Te 3.03-3.08
Te (0.1083, 0.6083, 0.5000)  4 Tm 3.03-3.08, 2 Pr 3.21
Te (0.3037, 0.8037, 0.5000)  6 Tm 3.05-3.08
Te (0.5000, 0.0000, 0.5000)  4 Tm 3.03, 2 Pr 3.07
Te (0.6963, 0.1963, 0.5000)  6 Tm 3.05-3.08
Te (0.8917, 0.3917, 0.5000)  4 Tm 3.03-3.08, 2 Pr 3.21

# 3
PrTm3Te3 | PBE-GGA | relaxed

Summary:
Raw formation energy ... -0.91 eV/atom
Space group ... R-3, No. 148
Density of states at the Fermi level ... 7.09 states/eV/f.u.

Lattice parameters (Å, degrees): 11.1874 11.1874 11.1874 37.41 37.41 37.41
With the nearest neighbours (Å) after each atom.
Atoms (fractional coordinates):
Pr (0.1671, 0.1671, 0.1671)  6 Te 3.15
Pr (0.8329, 0.8329, 0.8329)  6 Te 3.15
Tm (0.0275, 0.3809, 0.7225)  3 Te 3.02-3.06
Tm (0.2775, 0.9725, 0.6191)  3 Te 3.02-3.06
Tm (0.3809, 0.7225, 0.0275)  3 Te 3.02-3.06
Tm (0.6191, 0.2775, 0.9725)  3 Te 3.02-3.06
Tm (0.7225, 0.0275, 0.3809)  3 Te 3.02-3.06
Tm (0.9725, 0.6191, 0.2775)  3 Te 3.02-3.06
Te (0.1234, 0.7528, 0.4346)  3 Tm 3.02-3.06, 2 Pr 3.15
Te (0.2472, 0.5654, 0.8766)  3 Tm 3.02-3.06, 2 Pr 3.15
Te (0.4346, 0.1234, 0.7528)  3 Tm 3.02-3.06, 2 Pr 3.15
Te (0.5654, 0.8766, 0.2472)  3 Tm 3.02-3.06, 2 Pr 3.15
Te (0.7528, 0.4346, 0.1234)  3 Tm 3.02-3.06, 2 Pr 3.15
Te (0.8766, 0.2472, 0.5654)  3 Tm 3.02-3.06, 2 Pr 3.15

# 4
PrTm6Te8 | PBE-GGA | relaxed

Summary:
Raw formation energy ... -1.13 eV/atom
Space group ... R-3, No. 148
Density of states at the Fermi level ... 8.53 states/eV/f.u.

Lattice parameters (Å, degrees): 7.9787 7.9787 7.9787 74.35 74.35 74.35
With the nearest neighbours (Å) after each atom.
Atoms (fractional coordinates):
Pr (0.0000, 0.0000, 0.0000)  6 Te 3.15
Tm (0.1482, 0.6335, 0.4439)  5 Te 3.01-3.19
Tm (0.3665, 0.5561, 0.8518)  5 Te 3.01-3.19
Tm (0.4439, 0.1482, 0.6335)  5 Te 3.01-3.19
Tm (0.5561, 0.8518, 0.3665)  5 Te 3.01-3.19
Tm (0.6335, 0.4439, 0.1482)  5 Te 3.01-3.19
Tm (0.8518, 0.3665, 0.5561)  5 Te 3.01-3.19
Te (0.1036, 0.3695, 0.8055)  4 Tm 3.01-3.19, 1 Pr 3.15
Te (0.1945, 0.8964, 0.6305)  4 Tm 3.01-3.19, 1 Pr 3.15
Te (0.2920, 0.2920, 0.2920)  3 Tm 3.09
Te (0.3695, 0.8055, 0.1036)  4 Tm 3.01-3.19, 1 Pr 3.15
Te (0.6305, 0.1945, 0.8964)  4 Tm 3.01-3.19, 1 Pr 3.15
Te (0.7080, 0.7080, 0.7080)  3 Tm 3.09
Te (0.8055, 0.1036, 0.3695)  4 Tm 3.01-3.19, 1 Pr 3.15
Te (0.8964, 0.6305, 0.1945)  4 Tm 3.01-3.19, 1 Pr 3.15

# 5
PrTm6Te8 | PBE-GGA | relaxed

Summary:
Raw formation energy ... -1.29 eV/atom
Space group ... Fm-3m, No. 225
Density of states at the Fermi level ... 6.53 states/eV/f.u.

Lattice parameters (Å, degrees): 8.5959 8.5959 8.5959 60.00 60.00 60.00
With the nearest neighbours (Å) after each atom.
Atoms (fractional coordinates):
Pr (0.0000, 0.0000, 0.0000)  6 Te 3.21
Tm (0.0000, 0.0000, 0.5000)  6 Te 3.04
Tm (0.0000, 0.5000, 0.0000)  6 Te 3.04
Tm (0.0000, 0.5000, 0.5000)  6 Te 3.04
Tm (0.5000, 0.0000, 0.0000)  6 Te 3.04
Tm (0.5000, 0.0000, 0.5000)  6 Te 3.04
Tm (0.5000, 0.5000, 0.0000)  6 Te 3.04
Te (0.2500, 0.2500, 0.2500)  6 Tm 3.04
Te (0.2643, 0.2643, 0.7357)  4 Tm 3.04, 1 Pr 3.21
Te (0.2643, 0.7357, 0.2643)  4 Tm 3.04, 1 Pr 3.21
Te (0.2643, 0.7357, 0.7357)  4 Tm 3.04, 1 Pr 3.21
Te (0.7357, 0.2643, 0.2643)  4 Tm 3.04, 1 Pr 3.21
Te (0.7357, 0.2643, 0.7357)  4 Tm 3.04, 1 Pr 3.21
Te (0.7357, 0.7357, 0.2643)  4 Tm 3.04, 1 Pr 3.21
Te (0.7500, 0.7500, 0.7500)  6 Tm 3.04

# 6
PrTmTe | PBE-GGA | relaxed

Summary:
Raw formation energy ... -0.77 eV/atom
Space group ... I4mm, No. 107
Density of states at the Fermi level ... 2.79 states/eV/f.u.

Lattice parameters (Å, degrees): 6.5158 6.5158 6.5158 144.94 144.94 50.43
With the nearest neighbours (Å) after each atom.
Atoms (fractional coordinates):
Pr (0.0000, 0.0000, 0.0000)  5 Te 3.47-3.81, 5 Tm 3.56-3.67
Tm (0.3109, 0.3109, 0.0000)  4 Te 3.20, 4 Pr 3.56
Te (0.6765, 0.6765, 0.0000)  4 Tm 3.20, 4 Pr 3.47

# 7
PrTm3Te2 | PBE-GGA | relaxed

Summary:
Raw formation energy ... -0.85 eV/atom
Space group ... C2/m, No. 12
Density of states at the Fermi level ... 4.95 states/eV/f.u.

Lattice parameters (Å, degrees): 8.4660 8.4660 11.3172 108.70 108.70 28.27
With the nearest neighbours (Å) after each atom.
Atoms (fractional coordinates):
Pr (0.1204, 0.1204, 0.0455)  7 Te 3.17-3.44
Pr (0.8796, 0.8796, 0.9545)  7 Te 3.17-3.44
Tm (0.0597, 0.0597, 0.4040)  2 Te 3.20, 7 Tm 3.37-3.53
Tm (0.2838, 0.2838, 0.6195)  2 Te 3.05-3.33, 4 Tm 3.29-3.38
Tm (0.3762, 0.3762, 0.3424)  3 Te 3.07-3.43, 2 Tm 3.41
Tm (0.6238, 0.6238, 0.6576)  3 Te 3.07-3.43, 2 Tm 3.41
Tm (0.7162, 0.7162, 0.3805)  2 Te 3.05-3.33, 4 Tm 3.29-3.38
Tm (0.9403, 0.9403, 0.5960)  2 Te 3.20, 7 Tm 3.37-3.53
Te (0.2262, 0.2262, 0.8499)  3 Tm 3.05-3.07, 3 Pr 3.17-3.23
Te (0.4837, 0.4837, 0.8246)  4 Tm 3.20-3.43, 4 Pr 3.32-3.44
Te (0.5163, 0.5163, 0.1754)  4 Tm 3.20-3.43, 4 Pr 3.32-3.44
Te (0.7738, 0.7738, 0.1501)  3 Tm 3.05-3.07, 3 Pr 3.17-3.23

# 8
PrTmTe | PBE-GGA | relaxed

Summary:
Raw formation energy ... -0.58 eV/atom
Space group ... Pmmm, No. 47
Density of states at the Fermi level ... 3.79 states/eV/f.u.

Lattice parameters (Å, degrees): 4.1273 4.6556 5.1426 90.00 90.00 90.00
With the nearest neighbours (Å) after each atom.
Atoms (fractional coordinates):
Pr (0.0000, 0.0000, 0.0000)  4 Te 3.30, 4 Tm 3.47
Tm (0.0000, 0.5000, 0.5000)  4 Te 3.11, 4 Pr 3.47
Te (0.5000, 0.0000, 0.5000)  4 Tm 3.11, 4 Pr 3.30